# 1
PmDyHo6Er2: optimized geometry, PBE.

Cell: 8.734 8.734 9.465 Å, 93.54 93.54 117.58°
Fractional positions:
Pm 0.027 0.973 0.750
Pm 0.973 0.027 0.250
Dy 0.410 0.590 0.250
Dy 0.590 0.410 0.750
Ho 0.018 0.565 0.682
Ho 0.122 0.752 0.057
Ho 0.248 0.878 0.443
Ho 0.292 0.510 0.882
Ho 0.435 0.982 0.818
Ho 0.490 0.708 0.618
Ho 0.510 0.292 0.382
Ho 0.565 0.018 0.182
Ho 0.708 0.490 0.118
Ho 0.752 0.122 0.557
Ho 0.878 0.248 0.943
Ho 0.982 0.435 0.318
Er 0.198 0.303 0.547
Er 0.303 0.198 0.047
Er 0.697 0.802 0.953
Er 0.802 0.697 0.453

Output
Space-group type   No. 15

---

# 2
PmDy2HoEr4: optimized geometry, PBE.

Cell: 7.034 7.096 9.921 Å, 90.00 89.27 89.50°
Fractional positions:
Pm 0.000 0.000 0.000
Pm 0.000 0.500 0.500
Dy 0.000 0.000 0.500
Dy 0.500 0.000 0.000
Dy 0.500 0.000 0.500
Dy 0.500 0.500 0.500
Ho 0.000 0.500 0.000
Ho 0.500 0.500 0.000
Er 0.251 0.250 0.249
Er 0.251 0.250 0.750
Er 0.251 0.749 0.750
Er 0.252 0.750 0.250
Er 0.748 0.250 0.750
Er 0.749 0.251 0.250
Er 0.749 0.750 0.250
Er 0.749 0.750 0.751

Output
Space-group type   No. 2

---

# 3
Pm2DyHo6Er: optimized geometry, PBE.

Cell: 8.736 8.736 9.628 Å, 94.49 94.49 118.12°
Fractional positions:
Pm 0.194 0.298 0.043
Pm 0.298 0.194 0.543
Pm 0.702 0.806 0.457
Pm 0.806 0.702 0.957
Dy 0.019 0.981 0.250
Dy 0.981 0.019 0.750
Ho 0.021 0.574 0.187
Ho 0.125 0.746 0.557
Ho 0.254 0.875 0.943
Ho 0.292 0.503 0.381
Ho 0.426 0.979 0.313
Ho 0.497 0.708 0.119
Ho 0.503 0.292 0.881
Ho 0.574 0.021 0.687
Ho 0.708 0.497 0.619
Ho 0.746 0.125 0.057
Ho 0.875 0.254 0.443
Ho 0.979 0.426 0.813
Er 0.407 0.593 0.750
Er 0.593 0.407 0.250

Output
Space-group type   No. 15

---

# 4
PmDyHo3Er: optimized geometry, PBE.

Cell: 11.296 11.296 6.727 Å, 97.71 97.71 27.73°
Fractional positions:
Pm 0.132 0.132 0.473
Pm 0.868 0.868 0.527
Dy 0.429 0.429 0.832
Dy 0.571 0.571 0.168
Ho 0.026 0.026 0.774
Ho 0.275 0.275 0.687
Ho 0.332 0.332 0.223
Ho 0.668 0.668 0.777
Ho 0.725 0.725 0.313
Ho 0.974 0.974 0.226
Er 0.167 0.167 0.031
Er 0.833 0.833 0.969

Output
Space-group type   No. 12

---

# 5
Pm3Dy6Ho2Er: optimized geometry, PBE.

Cell: 6.171 6.171 11.796 Å, 94.98 94.98 119.97°
Fractional positions:
Pm 0.000 0.000 0.000
Pm 0.333 0.667 0.000
Pm 0.667 0.333 0.000
Dy 0.084 0.418 0.254
Dy 0.249 0.249 0.746
Dy 0.418 0.084 0.254
Dy 0.582 0.916 0.746
Dy 0.751 0.751 0.254
Dy 0.916 0.582 0.746
Ho 0.167 0.833 0.500
Ho 0.833 0.167 0.500
Er 0.500 0.500 0.500

Output
Space-group type   No. 12

---

# 6
PmDyHo4Er2: optimized geometry, PBE.

Cell: 7.067 7.081 9.980 Å, 90.04 90.05 90.04°
Fractional positions:
Pm 0.000 0.000 0.000
Pm 0.000 0.500 0.500
Dy 0.000 0.000 0.500
Dy 0.500 0.000 0.500
Ho 0.251 0.250 0.249
Ho 0.251 0.250 0.751
Ho 0.251 0.750 0.750
Ho 0.252 0.750 0.249
Ho 0.748 0.250 0.751
Ho 0.749 0.250 0.250
Ho 0.749 0.750 0.249
Ho 0.749 0.750 0.751
Er 0.000 0.500 0.000
Er 0.500 0.000 0.000
Er 0.500 0.500 0.000
Er 0.500 0.500 0.500

Output
Space-group type   No. 2

---

# 7
Pm2Dy4Ho2Er: optimized geometry, PBE.

Cell: 6.000 6.635 8.557 Å, 79.47 70.03 64.73°
Fractional positions:
Pm 0.231 0.325 0.341
Pm 0.769 0.675 0.659
Dy 0.115 0.126 0.764
Dy 0.241 0.573 0.885
Dy 0.759 0.427 0.115
Dy 0.885 0.874 0.236
Ho 0.321 0.771 0.445
Ho 0.679 0.229 0.555
Er 0.500 0.000 0.000

Output
Space-group type   No. 2

---

# 8
Pm2Dy2HoEr: optimized geometry, PBE.

Cell: 6.988 5.631 9.756 Å, 90.00 90.00 90.00°
Fractional positions:
Pm 0.000 0.000 0.000
Pm 0.250 0.500 0.177
Pm 0.500 0.000 0.000
Pm 0.750 0.500 0.823
Dy 0.250 0.000 0.331
Dy 0.250 0.500 0.837
Dy 0.750 0.000 0.669
Dy 0.750 0.500 0.163
Ho 0.250 0.000 0.659
Ho 0.750 0.000 0.341
Er 0.000 0.500 0.500
Er 0.500 0.500 0.500

Output
Space-group type   No. 51

---

| no. | magnetization (μB per formula unit) | energy relative to the elements (eV per atom) |
| --- | --- | --- |
| 1 | 0.000 | 0.12 |
| 2 | 0.000 | 0.02 |
| 3 | 0.000 | 0.12 |
| 4 | 0.000 | 0.20 |
| 5 | 0.000 | 0.02 |
| 6 | 0.000 | 0.02 |
| 7 | 0.000 | 0.09 |
| 8 | 0.000 | 0.07 |